No. 1
ScCd2Ag2 | PBE | relaxed

The structure in POSCAR format:
```
ScCd2Ag2
1.0
8.0721 0.0000 0.0000
0.0000 8.0721 0.0000
0.0000 0.0000 3.1604
Sc Ag Cd
2 4 4
Cartesian
0.0000 0.0000 0.0000
4.0360 4.0360 0.0000
2.9992 7.0352 0.0000
7.0352 5.0729 0.0000
5.0729 1.0369 0.0000
1.0369 2.9992 0.0000
1.3701 5.4061 1.5802
5.4061 6.7020 1.5802
6.7020 2.6659 1.5802
2.6659 1.3701 1.5802
```

The value obtained for the density of states at the Fermi level is 6.0 states/eV per cell. As for the total energy: -28.4 eV for the cell shown. The value obtained for the total magnetic moment is 0.81 μB/cell. The formation energy from the elements comes out at -0.31 eV/f.u. The energy above the most stable polymorph in this dataset comes out at 107 meV per atom. Its space-group type is No. 127.

***

No. 2
Li3Ac3SbO8 | PBE | relaxed

The structure in POSCAR format:
```
Li3Ac3SbO8
1.0
-7.3937 -0.8253 -0.1193
4.0742 -2.1140 -5.8565
0.2131 -2.7568 5.8692
Li Ac Sb O
3 3 1 8
Cartesian
0.0000 0.0000 0.0000
2.0371 -1.0570 -2.9282
-1.6598 -1.4697 -2.9879
-3.5903 -1.7911 2.8750
-1.5532 -2.8481 -0.0533
2.1437 -2.4354 0.0064
0.1066 -1.3784 2.9346
0.2505 -2.0330 -1.4559
-3.3569 -3.6631 1.3494
-3.4313 -2.5375 -1.8214
0.3249 -3.1587 1.7149
-1.6955 -3.4380 -4.3167
-1.4109 -2.2581 4.2101
2.5482 -2.9643 -4.2482
-5.6546 -2.7318 4.1417
```

The value obtained for the density of states at the Fermi level is 2.8 states/eV per cell. As for the total energy: -96.3 eV for the cell shown. The value obtained for the total magnetic moment is 0.00 μB/cell. Its formation energy from raw total energies is -2.296 eV/atom. Its space-group type is No. 166.

***

No. 3
MoRh2SBr | PBE | relaxed

The structure in POSCAR format:
```
MoRh2SBr
1.0
4.7967 0.0000 0.0000
0.0000 4.7534 0.0000
0.0000 0.0000 4.7967
Mo Rh S Br
1 2 1 1
Cartesian
0.0000 0.0000 0.0000
0.0000 0.0000 2.3984
2.3984 0.0000 0.0000
2.3984 2.3767 2.3984
0.0000 2.3767 0.0000
```

The value obtained for the density of states at the Fermi level is 5.2 states/eV per cell. As for the total energy: -25.4 eV for the cell shown. The value obtained for the total magnetic moment is 0.00 μB/cell. Its formation energy from raw total energies is 1.189 eV/atom. Its space-group type is No. 123.

***

No. 4
TcAgSb2 | PBE | relaxed

The structure in POSCAR format:
```
TcAgSb2
1.0
3.2754 0.0000 0.0000
0.0000 3.2754 0.0000
0.0000 0.0000 7.7356
Ag Sb Tc
1 2 1
Cartesian
1.6377 1.6377 5.8017
0.0000 0.0000 0.2985
0.0000 0.0000 3.5693
1.6377 1.6377 1.9339
```

The value obtained for the density of states at the Fermi level is 1.5 states/eV per cell. As for the total energy: -20.9 eV for the cell shown. The value obtained for the total magnetic moment is 0.00 μB/cell. Its formation energy from raw total energies is 0.144 eV/atom. The energy above the most stable polymorph in this dataset comes out at 35 meV per atom. Its space-group type is No. 123.

***

No. 5
SrH2PdF8 | PBE | relaxed

The structure in POSCAR format:
```
SrH2PdF8
1.0
5.0132 1.0180 0.2838
1.0876 5.0144 0.2532
0.4579 0.4659 7.0523
Sr H Pd F
1 2 1 8
Cartesian
0.2290 0.2329 3.5261
1.9855 1.9666 5.3207
4.5732 4.5318 2.2685
0.0000 0.0000 0.0000
2.1522 4.2346 1.6949
4.7368 4.6909 0.9166
4.2518 2.1026 1.7206
4.4066 2.2637 5.8943
1.8220 1.8075 6.6726
2.3070 4.3958 5.8686
4.5504 4.5156 3.2946
2.0084 1.9828 4.2947
```

The value obtained for the density of states at the Fermi level is 0.0 states/eV per cell. As for the total energy: -52.9 eV for the cell shown. The value obtained for the total magnetic moment is 0.00 μB/cell. Its space-group type is No. 2.

***

No. 6
Ru2SO | PBE | relaxed

The structure in POSCAR format:
```
Ru2SO
1.0
4.8341 0.0000 0.0000
0.0000 4.8341 0.0000
2.4170 2.4170 5.1121
Ru S O
4 2 2
Cartesian
3.4421 1.2085 1.2780
1.3919 3.6256 1.2780
3.6256 3.8090 3.8341
6.0426 5.8592 3.8341
0.0000 0.0000 0.0000
4.8341 2.4170 2.5561
2.4170 2.4170 0.0000
2.4170 4.8341 2.5561
```

The value obtained for the density of states at the Fermi level is 4.4 states/eV per cell. As for the total energy: -56.2 eV for the cell shown. The value obtained for the total magnetic moment is 0.00 μB/cell. Its formation energy from raw total energies is -0.111 eV/atom. The energy above the most stable polymorph in this dataset comes out at 0 meV per atom. Its space-group type is No. 122.

***

No. 7
LaSm2Al2In2 | PBE | relaxed

The structure in POSCAR format:
```
LaSm2Al2In2
1.0
-2.9621 3.3316 -1.5782
-3.2938 -1.0938 -3.2123
-8.4476 -1.4639 5.6793
La Sm Al In
1 2 2 2
Cartesian
0.0000 0.0000 0.0000
-5.9528 -0.5974 2.8261
-8.7507 1.3713 -1.9374
-5.4541 1.0460 -1.7258
-9.2494 -0.2722 2.6145
-11.1654 0.5325 0.8241
-3.5381 0.2413 0.0646
```

The value obtained for the density of states at the Fermi level is 6.1 states/eV per cell. As for the total energy: -29.4 eV for the cell shown. The value obtained for the total magnetic moment is 0.00 μB/cell. The formation energy from the elements comes out at -2.03 eV/f.u. Its space-group type is No. 166.

***

No. 8
Sm2Dy8Er3 | PBE | relaxed

The structure in POSCAR format:
```
Sm2Dy8Er3
1.0
5.4941 0.0000 0.7543
0.0000 7.5833 0.0000
-1.3971 -3.7917 10.1602
Sm Dy Er
2 8 3
Cartesian
2.0715 0.0000 5.2730
2.0255 3.7917 5.6415
-0.4542 3.7917 3.3179
4.5512 0.0000 7.5966
5.1310 0.0000 3.3928
-1.0340 3.7917 7.5217
1.6466 1.6086 8.3732
1.6466 -1.6086 8.3732
2.4504 5.4003 2.5413
2.4504 2.1831 2.5413
2.7470 0.0000 0.3771
0.0000 2.1628 0.0000
0.0000 5.4206 0.0000
```

The value obtained for the density of states at the Fermi level is 22.1 states/eV per cell. As for the total energy: -56.9 eV for the cell shown. The value obtained for the total magnetic moment is 0.00 μB/cell. The formation energy from the elements comes out at 3.06 eV/f.u. The energy above the most stable polymorph in this dataset comes out at 147 meV per atom. Its space-group type is No. 65.

***

No. 9
Rb2TbUO6 | PBE | relaxed

The structure in POSCAR format:
```
Rb2TbUO6
1.0
6.2039 -0.0004 -0.0002
0.0004 6.2041 -0.0005
3.1019 3.1016 4.3862
Rb Tb U O
2 1 1 6
Cartesian
3.1021 6.2040 2.1927
6.2041 3.1013 2.1929
0.0000 0.0000 0.0000
3.1021 3.1019 -0.0003
1.6264 4.5778 -0.0003
7.6801 7.6793 4.3855
3.1017 3.1016 2.0863
7.6798 4.7275 4.3858
1.6261 1.6260 0.0001
6.2045 6.2037 2.2992
```

The value obtained for the density of states at the Fermi level is 9.0 states/eV per cell. As for the total energy: -74.2 eV for the cell shown. The value obtained for the total magnetic moment is 1.02 μB/cell. Its formation energy from raw total energies is -2.660 eV/atom. Its space-group type is No. 225.

***

No. 10
TaCdFeRe2 | PBE | relaxed

The structure in POSCAR format:
```
TaCdFeRe2
1.0
-0.6984 -0.0271 -4.7169
0.6182 -4.3223 -0.0667
-4.6684 -0.6785 0.6951
Re Cd Fe Ta
2 1 1 1
Cartesian
-2.3342 -0.3392 0.3475
-0.3492 -0.0135 -2.3584
0.0000 0.0000 0.0000
0.3091 -2.1611 -0.0334
-2.3743 -2.5139 -2.0443
```

The value obtained for the density of states at the Fermi level is 7.8 states/eV per cell. As for the total energy: -32.8 eV for the cell shown. The value obtained for the total magnetic moment is 0.45 μB/cell. The formation energy from the elements comes out at 13.30 eV/f.u. Its space-group type is No. 123.

***

No. 11
BaPmTl | PBE | relaxed

The structure in POSCAR format:
```
BaPmTl
1.0
-1.6577 -5.0018 -0.7088
2.0121 -1.3380 4.7360
-7.3271 1.9107 3.6527
Ba Pm Tl
2 2 2
Cartesian
-5.3116 0.9785 5.5175
-1.8383 -2.2377 0.1488
-3.4863 -2.2146 3.8399
-3.6635 0.9553 1.8264
-1.0270 -0.1389 3.3815
-6.1229 -1.1204 2.2848
```

The value obtained for the density of states at the Fermi level is 3.8 states/eV per cell. As for the total energy: -19.8 eV for the cell shown. The value obtained for the total magnetic moment is 0.00 μB/cell. The formation energy from the elements comes out at -0.86 eV/f.u. The energy above the most stable polymorph in this dataset comes out at 0 meV per atom. Its space-group type is No. 129.

***

No. 12
CaHgW2 | PBE | relaxed

The structure in POSCAR format:
```
CaHgW2
1.0
5.2782 0.0000 0.0000
0.0000 2.9054 0.0018
0.0000 0.2824 5.1768
Ca Hg W
1 1 2
Cartesian
2.6391 0.7970 1.2947
2.6391 2.3909 3.8840
0.0000 2.5397 0.0374
0.0000 1.9596 2.5537
```

The value obtained for the density of states at the Fermi level is 3.5 states/eV per cell. As for the total energy: -25.2 eV for the cell shown. The value obtained for the total magnetic moment is 0.00 μB/cell. The formation energy from the elements comes out at 2.98 eV/f.u. Its space-group type is No. 10.